Material: KCa2Pb
Method: DFT, PBEsol
State: optimized geometry

Output
D(E_F) in states/eV per atom: 0.7667
DFT formation energy in eV/f.u.: -0.4
Symmetry: I-4m2 (119)
E_tot in eV per atom: -2.4502

a b c (Å): 5.233 5.233 6.200
angles (deg): 114.96 114.96 90.00
Atoms (fractional coordinates):
Ca (0.000, 0.000, 0.000)
Ca (0.750, 0.250, 0.500)
K (0.500, 0.500, 0.000)
Pb (0.250, 0.750, 0.500)